A plane-wave DFT calculation with PBE was carried out for a relaxed structure of Pa2Ga5Pd3.

Properties
As for the calculated formation energy: -585 meV/atom. The electronic total energy is -0.2042 Ha/atom. The offset from the most stable computed form is 0 meV per atom. Its density is 10.25 g/cm³.

abc: 12.5467 12.5467 6.6640
angles: 90.00 90.00 159.58
Last column: nearest neighbours and their distance in Å.
Element x y z (fractional)
Pa: 0.0143 0.9857 0.5000  5 Pd 2.86-3.12, 6 Ga 3.02-3.19
Pa: 0.3291 0.6709 0.4814  10 Ga 3.03-3.39, 3 Pd 3.11-3.30
Pa: 0.6709 0.3291 0.9814  10 Ga 3.03-3.39, 3 Pd 3.11-3.30
Pa: 0.9857 0.0143 0.0000  5 Pd 2.86-3.12, 6 Ga 3.02-3.19
Ga: 0.1055 0.8945 0.1717  3 Pd 2.59-2.72, 1 Ga 2.66
Ga: 0.2071 0.7929 0.6759  4 Pd 2.57-2.64, 1 Ga 2.70
Ga: 0.2099 0.7901 0.2715  3 Pd 2.58-2.62, 2 Ga 2.66-2.70
Ga: 0.3781 0.6219 0.0065  4 Pd 2.54-2.83, 1 Ga 2.69
Ga: 0.4487 0.5513 0.3135  4 Pd 2.62-2.66, 1 Ga 2.69
Ga: 0.5513 0.4487 0.8135  4 Pd 2.62-2.66, 1 Ga 2.69
Ga: 0.6219 0.3781 0.5065  4 Pd 2.54-2.83, 1 Ga 2.69
Ga: 0.7901 0.2099 0.7715  3 Pd 2.58-2.62, 2 Ga 2.66-2.70
Ga: 0.7929 0.2071 0.1759  4 Pd 2.57-2.64, 1 Ga 2.70
Ga: 0.8945 0.1055 0.6717  3 Pd 2.59-2.72, 1 Ga 2.66
Pd: 0.1057 0.8943 0.7630  6 Ga 2.57-2.83, 1 Pa 2.86
Pd: 0.2756 0.7244 0.9711  7 Ga 2.54-2.64
Pd: 0.4471 0.5529 0.7130  5 Ga 2.59-2.66
Pd: 0.5529 0.4471 0.2130  5 Ga 2.59-2.66
Pd: 0.7244 0.2756 0.4711  7 Ga 2.54-2.64
Pd: 0.8943 0.1057 0.2630  6 Ga 2.57-2.83, 1 Pa 2.86



A plane-wave DFT calculation with PBE was carried out for a relaxed structure of PaGa2Pd.

Properties
As for the calculated formation energy: -445 meV/atom. The electronic total energy is -0.2069 Ha/atom. Its density is 10.88 g/cm³.

abc: 3.1806 3.1806 7.1978
angles: 90.00 90.00 90.00
Last column: nearest neighbours and their distance in Å.
Element x y z (fractional)
Pa: 0.0000 0.0000 0.0000  8 Ga 3.09, 4 Pa 3.18
Ga: 0.5000 0.5000 0.2935  4 Pd 2.70, 1 Ga 2.97
Ga: 0.5000 0.5000 0.7065  4 Pd 2.70, 1 Ga 2.97
Pd: 0.0000 0.0000 0.5000  8 Ga 2.70



A plane-wave DFT calculation with PBE was carried out for a relaxed structure of Pa3Ga8Pd3.

Properties
As for the calculated formation energy: -455 meV/atom. The electronic total energy is -0.1959 Ha/atom. Its density is 10.09 g/cm³.

abc: 8.1203 8.1203 8.1203
angles: 148.92 107.24 81.21
Last column: nearest neighbours and their distance in Å.
Element x y z (fractional)
Pa: 0.0000 0.0000 0.0000  12 Ga 3.18-3.19
Pa: 0.3036 0.3036 0.0000  4 Pd 3.07-3.25, 8 Ga 3.09-3.12
Pa: 0.6964 0.6964 0.0000  4 Pd 3.07-3.25, 8 Ga 3.09-3.12
Ga: 0.0273 0.6589 0.3684  4 Ga 2.54-2.70, 1 Pd 2.57
Ga: 0.1508 0.8677 0.2831  3 Ga 2.64-2.70, 3 Pd 2.65-2.73
Ga: 0.2905 0.6589 0.6316  4 Ga 2.54-2.70, 1 Pd 2.57
Ga: 0.4154 0.1323 0.2831  3 Ga 2.64-2.70, 3 Pd 2.65-2.73
Ga: 0.5846 0.8677 0.7169  3 Ga 2.64-2.70, 3 Pd 2.65-2.73
Ga: 0.7095 0.3411 0.3684  4 Ga 2.54-2.70, 1 Pd 2.57
Ga: 0.8492 0.1323 0.7169  3 Ga 2.64-2.70, 3 Pd 2.65-2.73
Ga: 0.9727 0.3411 0.6316  4 Ga 2.54-2.70, 1 Pd 2.57
Pd: 0.3037 0.5000 0.8037  6 Ga 2.57-2.73
Pd: 0.5000 0.0000 0.5000  4 Ga 2.65, 4 Pd 2.88
Pd: 0.6963 0.5000 0.1963  6 Ga 2.57-2.73



A plane-wave DFT calculation with PBE was carried out for a relaxed structure of Pa2Ga2Pd3.

Properties
As for the calculated formation energy: -596 meV/atom. The electronic total energy is -0.2352 Ha/atom. The offset from the most stable computed form is 0 meV per atom. Its density is 11.44 g/cm³.

abc: 5.5817 5.5817 6.8700
angles: 111.06 111.06 42.61
Last column: nearest neighbours and their distance in Å.
Element x y z (fractional)
Pa: 0.1383 0.1383 0.2670  6 Pd 2.97-3.24, 4 Ga 2.97-3.04
Pa: 0.8617 0.8617 0.7330  6 Pd 2.97-3.24, 4 Ga 2.97-3.04
Ga: 0.1487 0.1487 0.7143  5 Pd 2.63-2.67
Ga: 0.8513 0.8513 0.2857  5 Pd 2.63-2.67
Pd: 0.3840 0.3840 0.0598  3 Ga 2.65-2.67, 2 Pd 2.79-2.83, 2 Pa 2.97
Pd: 0.5000 0.5000 0.5000  4 Ga 2.63, 2 Pd 2.79
Pd: 0.6160 0.6160 0.9402  3 Ga 2.65-2.67, 2 Pd 2.79-2.83, 2 Pa 2.97



A plane-wave DFT calculation with PBE was carried out for a relaxed structure of Pa2Ga9Pd.

Properties
As for the calculated formation energy: -329 meV/atom. The electronic total energy is -0.1696 Ha/atom. Its density is 8.88 g/cm³.

abc: 4.3287 4.3287 11.9354
angles: 90.00 90.00 90.00
Last column: nearest neighbours and their distance in Å.
Element x y z (fractional)
Pa: 0.0000 0.0000 0.1783  12 Ga 3.04-3.06
Pa: 0.0000 0.0000 0.8217  12 Ga 3.04-3.06
Ga: 0.0000 0.5000 0.0000  8 Ga 2.97-3.06, 4 Pa 3.04
Ga: 0.0000 0.5000 0.3577  2 Pd 2.75, 6 Ga 2.75-3.06, 2 Pa 3.04
Ga: 0.0000 0.5000 0.6423  2 Pd 2.75, 6 Ga 2.75-3.06, 2 Pa 3.04
Ga: 0.5000 0.0000 0.0000  8 Ga 2.97-3.06, 4 Pa 3.04
Ga: 0.5000 0.0000 0.3577  2 Pd 2.75, 6 Ga 2.75-3.06, 2 Pa 3.04
Ga: 0.5000 0.0000 0.6423  2 Pd 2.75, 6 Ga 2.75-3.06, 2 Pa 3.04
Ga: 0.5000 0.5000 0.1700  8 Ga 2.97-3.11, 4 Pa 3.06
Ga: 0.5000 0.5000 0.5000  8 Ga 2.75, 4 Pd 3.06
Ga: 0.5000 0.5000 0.8300  8 Ga 2.97-3.11, 4 Pa 3.06
Pd: 0.0000 0.0000 0.5000  12 Ga 2.75-3.06



A plane-wave DFT calculation with PBE was carried out for a relaxed structure of Pa3Ga9Pd2.

Properties
As for the calculated formation energy: -410 meV/atom. The electronic total energy is -0.1886 Ha/atom. Its density is 9.72 g/cm³.

abc: 8.1677 8.1677 8.1677
angles: 149.65 103.00 84.96
Last column: nearest neighbours and their distance in Å.
Element x y z (fractional)
Pa: 0.0000 0.0000 0.0000  12 Ga 3.16-3.22
Pa: 0.3156 0.3156 0.0000  2 Pd 3.06, 10 Ga 3.08-3.19
Pa: 0.6844 0.6844 0.0000  2 Pd 3.06, 10 Ga 3.08-3.19
Ga: 0.0354 0.6617 0.3737  4 Ga 2.57-2.68, 1 Pd 2.58
Ga: 0.1437 0.8679 0.2757  4 Ga 2.65-2.78, 2 Pd 2.67
Ga: 0.2880 0.6617 0.6263  4 Ga 2.57-2.68, 1 Pd 2.58
Ga: 0.4078 0.1321 0.2757  4 Ga 2.65-2.78, 2 Pd 2.67
Ga: 0.5000 0.0000 0.5000  4 Ga 2.78, 4 Pd 3.00, 4 Pa 3.08
Ga: 0.5922 0.8679 0.7243  4 Ga 2.65-2.78, 2 Pd 2.67
Ga: 0.7120 0.3383 0.3737  4 Ga 2.57-2.68, 1 Pd 2.58
Ga: 0.8563 0.1321 0.7243  4 Ga 2.65-2.78, 2 Pd 2.67
Ga: 0.9646 0.3383 0.6263  4 Ga 2.57-2.68, 1 Pd 2.58
Pd: 0.2931 0.5000 0.7931  6 Ga 2.58-2.67
Pd: 0.7069 0.5000 0.2069  6 Ga 2.58-2.67